[1]
TbSm3Hg6 | PBE-GGA | optimized geometry

Calculated values
The density of states at the Fermi level is 7.7 states/eV/f.u. As for the energy: -2.49 eV/atom. The total moment comes out at 0.00 μB/cell. Its space group is P2_1/m (11).

Cell: 5.198 9.344 11.229 Å, 106.27 90.00 90.00°
Sites, in units of the cell vectors:
1 Tb 0.250 0.939 0.609
2 Tb 0.750 0.061 0.391
3 Sm 0.750 0.227 0.008
4 Sm 0.250 0.773 0.992
5 Sm 0.250 0.353 0.793
6 Sm 0.750 0.488 0.614
7 Sm 0.750 0.647 0.207
8 Sm 0.250 0.512 0.386
9 Hg 0.750 0.156 0.687
10 Hg 0.750 0.341 0.298
11 Hg 0.750 0.536 0.912
12 Hg 0.250 0.062 0.893
13 Hg 0.250 0.844 0.313
14 Hg 0.250 0.236 0.505
15 Hg 0.750 0.860 0.805
16 Hg 0.250 0.659 0.702
17 Hg 0.250 0.140 0.195
18 Hg 0.250 0.464 0.088
19 Hg 0.750 0.764 0.495
20 Hg 0.750 0.938 0.107


[2]
TbSm5Hg3 | PBE-GGA | optimized geometry

Calculated values
The density of states at the Fermi level is 8.0 states/eV/f.u. As for the energy: -3.53 eV/atom. The total moment comes out at 0.00 μB/cell. Its space group is P6_3/mcm (193).

Cell: 7.019 9.263 9.262 Å, 120.00 90.00 90.00°
Sites, in units of the cell vectors:
1 Sm 0.000 0.333 0.667
2 Sm 0.750 0.665 0.665
3 Sm 0.500 0.333 0.667
4 Sm 0.250 0.665 0.000
5 Sm 0.750 0.000 0.335
6 Sm 0.500 0.667 0.333
7 Sm 0.750 0.335 0.000
8 Sm 0.250 0.000 0.665
9 Sm 0.000 0.667 0.333
10 Sm 0.250 0.335 0.335
11 Hg 0.250 0.670 0.670
12 Hg 0.250 0.330 0.000
13 Hg 0.750 0.000 0.670
14 Hg 0.750 0.330 0.330
15 Hg 0.750 0.670 0.000
16 Hg 0.250 0.000 0.330
17 Tb 0.000 0.000 0.000
18 Tb 0.500 0.000 0.000


[3]
TbSmHg2 | PBE-GGA | optimized geometry

Calculated values
The density of states at the Fermi level is 4.4 states/eV/f.u. As for the energy: -2.96 eV/atom. The total moment comes out at 0.68 μB/cell. Its energy relative to the lowest polymorph listed for this composition is 1 kJ/mol of formula units. Its space group is Fm-3m (225).

Cell: 5.327 5.327 5.327 Å, 60.00 60.00 60.00°
Each line ends with the local moment (μB).
Sites, in units of the cell vectors:
1 Sm 0.500 0.500 0.500  0.17
2 Tb 0.000 0.000 0.000  0.22
3 Hg 0.250 0.250 0.250  0.02
4 Hg 0.750 0.750 0.750  0.02


[4]
Tb7SmHg4 | PBE-GGA | optimized geometry

Calculated values
The density of states at the Fermi level is 13.4 states/eV/f.u. As for the energy: -3.31 eV/atom. The total moment comes out at 0.00 μB/cell. Its space group is C2/m (12).

Cell: 5.711 9.002 7.880 Å, 70.59 68.75 71.50°
Sites, in units of the cell vectors:
1 Tb 0.934 0.405 0.727
2 Tb 0.269 0.683 0.779
3 Tb 0.208 0.116 0.469
4 Tb 0.792 0.884 0.531
5 Tb 0.066 0.595 0.273
6 Tb 0.500 0.000 0.000
7 Tb 0.731 0.317 0.221
8 Hg 0.689 0.661 0.961
9 Hg 0.311 0.339 0.039
10 Hg 0.546 0.274 0.634
11 Hg 0.454 0.726 0.366
12 Sm 0.000 0.000 0.000